Li2Mn2OF6: optimized geometry, PBEsol.

Properties
Magnetic moment   16.00 μB/cell
Formation energy from raw total energies   -2.4357 eV/atom
SG   Cc

Cell lengths 5.131, 5.131, 10.841 Å; angles 100.60, 100.60, 100.95 degrees
Positions (direct):
Li1 0.146 0.746 0.906
Li2 0.168 0.832 0.500
Li3 0.746 0.146 0.406
Li4 0.832 0.168 0.000
Mn1 0.180 0.845 0.211
Mn2 0.581 0.685 0.770
Mn3 0.685 0.581 0.270
Mn4 0.845 0.180 0.711
O1 0.912 0.916 0.794
O2 0.916 0.912 0.294
F1 0.044 0.922 0.054
F2 0.240 0.458 0.762
F3 0.405 0.815 0.368
F4 0.428 0.667 0.135
F5 0.441 0.906 0.647
F6 0.458 0.240 0.262
F7 0.511 0.902 0.916
F8 0.667 0.428 0.635
F9 0.815 0.405 0.868
F10 0.902 0.511 0.416
F11 0.906 0.441 0.147
F12 0.922 0.044 0.554

***

Rb2Ge2O5: optimized geometry, PBEsol.

Properties
Magnetic moment   0.48 μB/cell
Formation energy from raw total energies   -1.7529 eV/atom
SG   C2/c
D(E_F)   0.00 states/eV/cell

Cell lengths 6.885, 6.885, 14.757 Å; angles 91.56, 91.56, 78.96 degrees
Positions (direct):
Rb1 0.015 0.807 0.894
Rb2 0.193 0.985 0.606
Rb3 0.234 0.456 0.436
Rb4 0.456 0.234 0.936
Rb5 0.544 0.766 0.064
Rb6 0.766 0.544 0.564
Rb7 0.807 0.015 0.394
Rb8 0.985 0.193 0.106
Ge1 0.102 0.678 0.178
Ge2 0.270 0.434 0.718
Ge3 0.322 0.898 0.322
Ge4 0.434 0.270 0.218
Ge5 0.566 0.730 0.782
Ge6 0.678 0.102 0.678
Ge7 0.730 0.566 0.282
Ge8 0.898 0.322 0.822
O1 0.106 0.894 0.250
O2 0.136 0.388 0.816
O3 0.147 0.726 0.069
O4 0.162 0.424 0.614
O5 0.247 0.482 0.240
O6 0.274 0.853 0.431
O7 0.330 0.670 0.750
O8 0.388 0.136 0.316
O9 0.424 0.162 0.114
O10 0.482 0.247 0.740
O11 0.518 0.753 0.260
O12 0.576 0.838 0.886
O13 0.612 0.864 0.684
O14 0.670 0.330 0.250
O15 0.726 0.147 0.569
O16 0.753 0.518 0.760
O17 0.838 0.576 0.386
O18 0.853 0.274 0.931
O19 0.864 0.612 0.184
O20 0.894 0.106 0.750

***

BeTlRu2: optimized geometry, PBEsol.

Properties
Magnetic moment   0.00 μB/cell
SG   Imm2
ΔE_f   0.491 eV/atom
D(E_F)   4.03 states/eV/cell

Cell lengths 5.052, 5.052, 5.052 Å; angles 145.18, 129.13, 63.13 degrees
Positions (direct):
Be1 0.000 0.000 0.000
Tl1 0.249 0.749 0.500
Ru1 0.530 0.530 0.000
Ru2 0.792 0.292 0.500

***

Zr2BeNi: optimized geometry, PBEsol.

Properties
Magnetic moment   0.00 μB/cell
SG   P4mm
ΔE_f   -0.145 eV/atom
D(E_F)   3.30 states/eV/cell

Cell lengths 3.038, 3.038, 6.758 Å; angles 90.00, 90.00, 90.00 degrees
Positions (direct):
Zr1 0.000 0.000 0.000
Zr2 0.500 0.500 0.333
Be1 0.000 0.000 0.601
Ni1 0.500 0.500 0.741

***

BiHSe2N: optimized geometry, PBEsol.

Properties
Magnetic moment   3.15 μB/cell
SG   P4/mmm
Total energy   -0.2340 Ry per atom
D(E_F)   5.41 states/eV/cell

Cell lengths 5.470, 5.470, 4.542 Å; angles 90.00, 90.00, 90.00 degrees
Positions (direct):
Bi1 0.000 0.000 0.000
H1 0.500 0.500 0.500
Se1 0.000 0.500 0.000
Se2 0.500 0.000 0.000
N1 0.000 0.000 0.500

***

BaLa2Se: optimized geometry, PBEsol.

Properties
Magnetic moment   0.00 μB/cell
Formation energy from raw total energies   -0.8207 eV/atom
SG   R-3m
D(E_F)   4.25 states/eV/cell

Cell lengths 10.752, 10.752, 10.752 Å; angles 21.95, 21.95, 21.95 degrees
Positions (direct):
Ba1 0.000 0.000 0.000
La1 0.223 0.223 0.223
La2 0.777 0.777 0.777
Se1 0.500 0.500 0.500

***

Li2CuPt: optimized geometry, PBEsol.

Properties
Magnetic moment   0.00 μB/cell
SG   I-4m2
ΔE_f   -0.321 eV/atom
D(E_F)   0.76 states/eV/cell

Cell lengths 4.163, 4.163, 4.163 Å; angles 119.88, 119.88, 90.20 degrees
Positions (direct):
Li1 0.000 0.000 0.000
Li2 0.750 0.250 0.500
Cu1 0.250 0.750 0.500
Pt1 0.500 0.500 0.000

***

Li2SiCl: optimized geometry, PBEsol.

Properties
Magnetic moment   0.00 μB/cell
Formation energy from raw total energies   -0.7015 eV/atom
SG   R-3m
D(E_F)   1.73 states/eV/cell

Cell lengths 7.681, 7.681, 7.681 Å; angles 23.66, 23.66, 23.66 degrees
Positions (direct):
Li1 0.236 0.236 0.236
Li2 0.764 0.764 0.764
Si1 0.000 0.000 0.000
Cl1 0.500 0.500 0.500

***

Sc5Tl4: optimized geometry, PBEsol.

Properties
Magnetic moment   0.00 μB/cell
SG   P6_3/mcm
ΔE_f   -0.369 eV/atom
D(E_F)   14.36 states/eV/cell

Cell lengths 8.681, 8.681, 6.206 Å; angles 90.00, 90.00, 120.00 degrees
Positions (direct):
Sc1 0.000 0.293 0.250
Sc2 0.000 0.707 0.750
Sc3 0.293 0.000 0.250
Sc4 0.293 0.293 0.750
Sc5 0.333 0.667 0.000
Sc6 0.333 0.667 0.500
Sc7 0.667 0.333 0.000
Sc8 0.667 0.333 0.500
Sc9 0.707 0.000 0.750
Sc10 0.707 0.707 0.250
Tl1 0.000 0.000 0.000
Tl2 0.000 0.000 0.500
Tl3 0.000 0.374 0.750
Tl4 0.000 0.626 0.250
Tl5 0.374 0.000 0.750
Tl6 0.374 0.374 0.250
Tl7 0.626 0.000 0.250
Tl8 0.626 0.626 0.750

***

WSeN2F: optimized geometry, PBEsol.

Properties
Magnetic moment   0.77 μB/cell
Formation energy from raw total energies   2.0259 eV/atom
SG   P4/mmm
D(E_F)   2.96 states/eV/cell

Cell lengths 3.891, 3.891, 3.806 Å; angles 90.00, 90.00, 90.00 degrees
Positions (direct):
W1 0.000 0.000 0.000
Se1 0.500 0.500 0.000
N1 0.000 0.500 0.500
N2 0.500 0.000 0.500
F1 0.500 0.500 0.500

***

Si2Os: optimized geometry, PBEsol.

Properties
Magnetic moment   0.00 μB/cell
Formation energy from raw total energies   -0.4926 eV/atom
SG   C2/m
D(E_F)   0.71 states/eV/cell

Cell lengths 4.577, 4.577, 7.443 Å; angles 117.24, 117.24, 37.95 degrees
Positions (direct):
Si1 0.105 0.105 0.394
Si2 0.359 0.359 0.972
Si3 0.641 0.641 0.028
Si4 0.895 0.895 0.606
Os1 0.345 0.345 0.298
Os2 0.655 0.655 0.702

***

CoPt3Br: optimized geometry, PBEsol.

Properties
Magnetic moment   2.77 μB/cell
Formation energy from raw total energies   1.1887 eV/atom
SG   Pm-3m
D(E_F)   4.78 states/eV/cell

Cell lengths 4.543, 4.543, 4.543 Å; angles 90.00, 90.00, 90.00 degrees
Positions (direct):
Co1 0.000 0.000 0.000
Pt1 0.000 0.000 0.500
Pt2 0.000 0.500 0.000
Pt3 0.500 0.000 0.000
Br1 0.500 0.500 0.500